DFT (PBE-GGA) results for a relaxed structure of K14RbTl.

It has space group P4/mmm (No. 123), with a = 10.3929 Å, b = 10.3929 Å, c = 10.0424 Å, α = 90.00°, β = 90.00° and γ = 90.00°. The distinct sites, in fractional coordinates, are K at (0.0000, 0.0000, 0.0000), K at (0.0000, 0.5000, 0.0000), K at (0.0000, 0.5000, 0.5000), K at (0.2235, 0.2235, 0.2716), K at (0.5000, 0.5000, 0.0000), Rb at (0.5000, 0.5000, 0.5000) and Tl at (0.0000, 0.0000, 0.5000).

The formation energy comes out at 0.009 eV/atom. The crystal system is tetragonal.